The following is a PBE calculation of an optimized crystal structure of LaHoScSe3, from Alexandria.

abc: 4.095 8.406 9.375
angles: 105.53 90.00 90.00
Element x y z (fractional)
Se 0.750 0.237 0.488
Se 0.250 0.103 0.881
Se 0.750 0.897 0.119
Se 0.750 0.443 0.182
Se 0.250 0.557 0.818
Se 0.250 0.763 0.512
Ho 0.250 0.658 0.137
Ho 0.750 0.342 0.863
Sc 0.750 0.893 0.400
Sc 0.250 0.107 0.600
La 0.750 0.816 0.782
La 0.250 0.184 0.218

## Properties
M_tot in μB per atom: 0.125
Electronic total energy in eV per atom: -6.016
Mass density in g/cm³: 6.26
Calculated volume in Å³/f.u.: 155.5

---

The following is a PBE calculation of an optimized crystal structure of La3HoSc2Se6, from Alexandria.

abc: 7.059 7.059 7.296
angles: 99.29 99.29 120.15
Element x y z (fractional)
Se 0.415 0.074 0.222
Se 0.731 0.731 0.218
Se 0.269 0.269 0.782
Se 0.926 0.585 0.778
Se 0.585 0.926 0.778
Se 0.074 0.415 0.222
La 0.837 0.163 0.500
La 0.500 0.500 0.500
La 0.163 0.837 0.500
Sc 0.667 0.333 0.000
Sc 0.333 0.667 0.000
Ho 0.000 0.000 0.000

## Properties
M_tot in μB per atom: 0.000
Electronic total energy in eV per atom: -6.219
Mass density in g/cm³: 6.39
Calculated volume in Å³/f.u.: 297.4